# 1
! PBE-GGA HoErCdPd, relaxed; values from VASP
! **SG**: P4mm, No. 99
! **Density**: 9782 kg/m³
! **E**: -4.43 eV per atom
! **Energy above the lowest structure with this stoichiometry**: 0.000 eV/atom
! **Energy relative to the elements**: -619 meV/atom
&SYSTEM
  ibrav = 0, nat = 4, ntyp = 4
/
ATOMIC_SPECIES
Cd 112.41 Cd.upf
Er 167.26 Er.upf
Ho 164.93 Ho.upf
Pd 106.42 Pd.upf
CELL_PARAMETERS angstrom
3.5731 0.0000 0.0000
0.0000 3.5731 0.0000
0.0000 0.0000 7.3263
ATOMIC_POSITIONS crystal
Cd 0.0000 0.0000 0.8553
Er 0.5000 0.5000 0.5831
Ho 0.5000 0.5000 0.1303
Pd 0.0000 0.0000 0.3593

# 2
! PBE-GGA Ho2ErCdPd4, relaxed; values from VASP
! **SG**: R-3m, No. 166
! **Density**: 10599 kg/m³
! **E**: -5.26 eV per atom
! **Energy relative to the elements**: -834 meV/atom
&SYSTEM
  ibrav = 0, nat = 8, ntyp = 4
/
ATOMIC_SPECIES
Ho 164.93 Ho.upf
Cd 112.41 Cd.upf
Pd 106.42 Pd.upf
Er 167.26 Er.upf
CELL_PARAMETERS angstrom
-1.7444 1.4264 4.3026
-2.2497 -3.1923 2.8876
5.6063 -2.3925 5.8076
ATOMIC_POSITIONS crystal
Ho 0.2444 0.2444 0.2668
Cd 0.5000 0.5000 0.5000
Pd 0.8791 0.8791 0.3626
Pd 0.6282 0.6282 0.1155
Pd 0.3718 0.3718 0.8845
Er 0.0000 0.0000 0.0000
Ho 0.7556 0.7556 0.7332
Pd 0.1209 0.1209 0.6374

# 3
! PBE-GGA PmHoErCd, relaxed; values from VASP
! **SG**: F-43m, No. 216
! **Density**: 8482 kg/m³
! **E**: -3.73 eV per atom
! **Energy above the lowest structure with this stoichiometry**: 0.121 eV/atom
! **Energy relative to the elements**: -29 meV/atom
&SYSTEM
  ibrav = 0, nat = 4, ntyp = 4
/
ATOMIC_SPECIES
Cd 112.41 Cd.upf
Pm 145.00 Pm.upf
Ho 164.93 Ho.upf
Er 167.26 Er.upf
CELL_PARAMETERS angstrom
-0.8769 3.7415 -3.8859
-4.0550 3.6212 0.5585
1.1440 5.2571 0.9604
ATOMIC_POSITIONS crystal
Cd 0.7500 0.7500 0.7500
Pm 0.0000 0.0000 0.0000
Ho 0.5000 0.5000 0.5000
Er 0.2500 0.2500 0.2500

# 4
! PBE-GGA PmHoErCd, relaxed; values from VASP
! **SG**: P4mm, No. 99
! **Density**: 8373 kg/m³
! **E**: -3.85 eV per atom
! **Energy above the lowest structure with this stoichiometry**: 0.000 eV/atom
! **Energy relative to the elements**: -150 meV/atom
&SYSTEM
  ibrav = 0, nat = 4, ntyp = 4
/
ATOMIC_SPECIES
Ho 164.93 Ho.upf
Cd 112.41 Cd.upf
Er 167.26 Er.upf
Pm 145.00 Pm.upf
CELL_PARAMETERS angstrom
-2.3420 -0.7158 2.6384
2.5849 -1.7107 1.8304
2.2306 7.7338 4.0783
ATOMIC_POSITIONS crystal
Ho 0.5000 0.5000 0.7936
Cd 0.0000 0.0000 0.5700
Er 0.5000 0.5000 0.3492
Pm 0.0000 0.0000 0.0719

# 5
! PBE-GGA HoErCdRh, relaxed; values from VASP
! **SG**: F-43m, No. 216
! **Density**: 10167 kg/m³
! **E**: -4.90 eV per atom
! **Energy above the lowest structure with this stoichiometry**: 0.090 eV/atom
! **Energy relative to the elements**: -550 meV/atom
&SYSTEM
  ibrav = 0, nat = 4, ntyp = 4
/
ATOMIC_SPECIES
Cd 112.41 Cd.upf
Ho 164.93 Ho.upf
Er 167.26 Er.upf
Rh 102.91 Rh.upf
CELL_PARAMETERS angstrom
-4.1318 -2.2686 -1.7254
0.2135 -2.7549 -4.1905
-0.4133 -4.9958 0.2570
ATOMIC_POSITIONS crystal
Cd 0.7500 0.7500 0.7500
Ho 0.0000 0.0000 0.0000
Er 0.5000 0.5000 0.5000
Rh 0.2500 0.2500 0.2500

# 6
! PBE-GGA HoErCdRh, relaxed; values from VASP
! **SG**: P4mm, No. 99
! **Density**: 9977 kg/m³
! **E**: -4.99 eV per atom
! **Energy above the lowest structure with this stoichiometry**: 0.000 eV/atom
! **Energy relative to the elements**: -640 meV/atom
&SYSTEM
  ibrav = 0, nat = 4, ntyp = 4
/
ATOMIC_SPECIES
Rh 102.91 Rh.upf
Er 167.26 Er.upf
Cd 112.41 Cd.upf
Ho 164.93 Ho.upf
CELL_PARAMETERS angstrom
3.4844 0.0000 0.0000
0.0000 3.4844 0.0000
0.0000 0.0000 7.5050
ATOMIC_POSITIONS crystal
Rh 0.0000 0.0000 0.5695
Er 0.5000 0.5000 0.3541
Cd 0.0000 0.0000 0.0728
Ho 0.5000 0.5000 0.7883